Entry 1:
{
  "formula": "AgRhC3",
  "functional": "meta-GGA SCAN",
  "state": "single point on PBEsol structure",
  "cell": [[3.9547, 0.0000, 0.0000], [0.0000, 3.9547, 0.0000], [0.0000, 0.0000, 3.9547]],
  "species": ["Ag", "Rh", "C", "C", "C"],
  "frac_coords": [[0.0000, 0.0000, 0.0000], [0.5000, 0.5000, 0.5000], [0.0000, 0.5000, 0.5000], [0.5000, 0.0000, 0.5000], [0.5000, 0.5000, 0.0000]],
  "space_group": "Pm-3m",
  "dft_energy_ev_per_atom": -16.69
}

***

Entry 2:
{
  "formula": "Co5As2",
  "functional": "meta-GGA SCAN",
  "state": "single point on PBEsol structure",
  "cell": [[6.6803, 0.0000, 0.0000], [-3.3402, 5.7853, 0.0000], [0.0000, 0.0000, 12.1676]],
  "species": ["Co", "Co", "Co", "Co", "Co", "Co", "Co", "Co", "Co", "Co", "Co", "Co", "Co", "Co", "Co", "Co", "Co", "Co", "Co", "Co", "Co", "Co", "Co", "Co", "Co", "Co", "Co", "Co", "Co", "Co", "As", "As", "As", "As", "As", "As", "As", "As", "As", "As", "As", "As"],
  "frac_coords": [[0.0000, 0.0000, 0.0000], [0.0000, 0.0000, 0.5000], [0.0000, 0.2733, 0.3292], [0.0000, 0.3063, 0.1246], [0.0000, 0.3698, 0.5234], [0.0000, 0.3743, 0.7354], [0.0000, 0.6257, 0.2354], [0.0000, 0.6302, 0.0234], [0.0000, 0.6937, 0.6246], [0.0000, 0.7267, 0.8292], [0.2733, 0.0000, 0.3292], [0.2733, 0.2733, 0.8292], [0.3063, 0.0000, 0.1246], [0.3063, 0.3063, 0.6246], [0.3333, 0.6667, 0.3613], [0.3333, 0.6667, 0.8613], [0.3698, 0.0000, 0.5234], [0.3698, 0.3698, 0.0234], [0.3743, 0.0000, 0.7354], [0.3743, 0.3743, 0.2354], [0.6257, 0.0000, 0.2354], [0.6257, 0.6257, 0.7354], [0.6302, 0.0000, 0.0234], [0.6302, 0.6302, 0.5234], [0.6667, 0.3333, 0.3613], [0.6667, 0.3333, 0.8613], [0.6937, 0.0000, 0.6246], [0.6937, 0.6937, 0.1246], [0.7267, 0.0000, 0.8292], [0.7267, 0.7267, 0.3292], [0.0000, 0.0000, 0.2037], [0.0000, 0.0000, 0.7037], [0.0000, 0.3284, 0.9309], [0.0000, 0.6716, 0.4309], [0.3284, 0.0000, 0.9309], [0.3284, 0.3284, 0.4309], [0.3333, 0.6667, 0.1552], [0.3333, 0.6667, 0.6552], [0.6667, 0.3333, 0.1552], [0.6667, 0.3333, 0.6552], [0.6716, 0.0000, 0.4309], [0.6716, 0.6716, 0.9309]],
  "space_group": "P6_3cm",
  "dft_energy_ev_per_atom": -18.18
}

***

Entry 3:
{
  "formula": "TiZnCoP3O12",
  "functional": "meta-GGA SCAN",
  "state": "single point on PBEsol structure",
  "cell": [[4.2121, 2.4319, 6.7889], [-4.2121, 2.4319, 6.7889], [0.0000, -4.8637, 6.7889]],
  "species": ["Ti", "Ti", "Zn", "Zn", "Co", "Co", "P", "P", "P", "P", "P", "P", "O", "O", "O", "O", "O", "O", "O", "O", "O", "O", "O", "O", "O", "O", "O", "O", "O", "O", "O", "O", "O", "O", "O", "O"],
  "frac_coords": [[0.0000, 0.0000, 0.0000], [0.5000, 0.5000, 0.5000], [0.3570, 0.3570, 0.3570], [0.8570, 0.8570, 0.8570], [0.2187, 0.2187, 0.2187], [0.7187, 0.7187, 0.7187], [0.1030, 0.8233, 0.4024], [0.3233, 0.6030, 0.9024], [0.4024, 0.1030, 0.8233], [0.6030, 0.9024, 0.3233], [0.8233, 0.4024, 0.1030], [0.9024, 0.3233, 0.6030], [0.0364, 0.8634, 0.2404], [0.1022, 0.3057, 0.4362], [0.1203, 0.7662, 0.9150], [0.1665, 0.9820, 0.3671], [0.2404, 0.0364, 0.8634], [0.2662, 0.6203, 0.4150], [0.3057, 0.4362, 0.1022], [0.3634, 0.5364, 0.7404], [0.3671, 0.1665, 0.9819], [0.4150, 0.2662, 0.6203], [0.4362, 0.1022, 0.3057], [0.4820, 0.6665, 0.8671], [0.5364, 0.7404, 0.3634], [0.6022, 0.9362, 0.8057], [0.6203, 0.4150, 0.2662], [0.6665, 0.8671, 0.4820], [0.7404, 0.3634, 0.5364], [0.7662, 0.9150, 0.1203], [0.8057, 0.6022, 0.9362], [0.8634, 0.2404, 0.0364], [0.8671, 0.4819, 0.6665], [0.9150, 0.1203, 0.7662], [0.9362, 0.8057, 0.6022], [0.9820, 0.3671, 0.1665]],
  "space_group": "R3c",
  "dft_energy_ev_per_atom": -10.86,
  "raw_formation_energy_ev_per_atom": -2.3694
}

***

Entry 4:
{
  "formula": "BaInRh2",
  "functional": "meta-GGA SCAN",
  "state": "single point on PBEsol structure",
  "cell": [[-1.5564, 2.4665, 5.3615], [1.5564, -2.4665, 5.3615], [1.5564, 2.4665, -5.3615]],
  "species": ["Ba", "In", "Rh", "Rh"],
  "frac_coords": [[0.0000, 0.0000, 0.0000], [0.2896, 0.7896, 0.5000], [0.5166, 0.5166, 0.0000], [0.7232, 0.2232, 0.5000]],
  "space_group": "Imm2",
  "dft_energy_ev_per_atom": -35.04
}

***

Entry 5:
{
  "formula": "Nd3Ni2Sn7",
  "functional": "meta-GGA SCAN",
  "state": "single point on PBEsol structure",
  "cell": [[2.2788, -13.5541, 0.0000], [2.2788, 13.5541, 0.0000], [0.0000, 0.0000, 4.5200]],
  "species": ["Nd", "Nd", "Nd", "Ni", "Ni", "Sn", "Sn", "Sn", "Sn", "Sn", "Sn", "Sn"],
  "frac_coords": [[0.0000, 0.0000, 0.0000], [0.3154, 0.6846, 0.5000], [0.6846, 0.3154, 0.5000], [0.1283, 0.8717, 0.0000], [0.8717, 0.1283, 0.0000], [0.0895, 0.9105, 0.5000], [0.2187, 0.7813, 0.0000], [0.4100, 0.5900, 0.0000], [0.5000, 0.5000, 0.5000], [0.5900, 0.4100, 0.0000], [0.7813, 0.2187, 0.0000], [0.9105, 0.0895, 0.5000]],
  "space_group": "Cmmm",
  "dft_energy_ev_per_atom": -35.20
}

***

Entry 6:
{
  "formula": "ScNb2Tl",
  "functional": "meta-GGA SCAN",
  "state": "single point on PBEsol structure",
  "cell": [[0.0000, 3.3758, 3.3758], [3.3758, 0.0000, 3.3758], [3.3758, 3.3758, 0.0000]],
  "species": ["Sc", "Nb", "Nb", "Tl"],
  "frac_coords": [[0.0000, 0.0000, 0.0000], [0.2500, 0.2500, 0.2500], [0.7500, 0.7500, 0.7500], [0.5000, 0.5000, 0.5000]],
  "space_group": "Fm-3m",
  "dft_energy_ev_per_atom": -37.82
}

***

Entry 7:
{
  "formula": "SrCaHf2Zr",
  "functional": "meta-GGA SCAN",
  "state": "single point on PBEsol structure",
  "cell": [[5.2629, 0.0000, 0.0000], [0.0000, 5.2629, 0.0000], [0.0000, 0.0000, 5.1842]],
  "species": ["Sr", "Ca", "Hf", "Hf", "Zr"],
  "frac_coords": [[0.0000, 0.0000, 0.0000], [0.5000, 0.5000, 0.5000], [0.0000, 0.5000, 0.5000], [0.5000, 0.0000, 0.5000], [0.5000, 0.5000, 0.0000]],
  "space_group": "P4/mmm",
  "dft_energy_ev_per_atom": -36.07
}

***

Entry 8:
{
  "formula": "EuCuW2O8",
  "functional": "meta-GGA SCAN",
  "state": "single point on PBEsol structure",
  "cell": [[4.9290, 0.0000, 0.0000], [2.4607, 5.5641, 0.0000], [0.2223, 2.3181, 5.7148]],
  "species": ["Eu", "Cu", "W", "W", "O", "O", "O", "O", "O", "O", "O", "O"],
  "frac_coords": [[0.0000, 0.0000, 0.0000], [0.5000, 0.0000, 0.5000], [0.2365, 0.5265, 0.6648], [0.7635, 0.4735, 0.3352], [0.1658, 0.2964, 0.4870], [0.2133, 0.2960, 0.9339], [0.2595, 0.7766, 0.7443], [0.3494, 0.6904, 0.3303], [0.6506, 0.3096, 0.6697], [0.7405, 0.2234, 0.2557], [0.7867, 0.7040, 0.0661], [0.8342, 0.7036, 0.5130]],
  "space_group": "P-1",
  "dft_energy_ev_per_atom": -23.79,
  "raw_formation_energy_ev_per_atom": -2.2817
}

***

Entry 9:
{
  "formula": "LiLa2Sc",
  "functional": "meta-GGA SCAN",
  "state": "single point on PBEsol structure",
  "cell": [[-1.8179, 2.7520, 5.5115], [1.8179, -2.7520, 5.5115], [1.8179, 2.7520, -5.5115]],
  "species": ["Li", "La", "La", "Sc"],
  "frac_coords": [[0.0000, 0.0000, 0.0000], [0.2449, 0.7449, 0.5000], [0.5144, 0.5144, 0.0000], [0.7847, 0.2847, 0.5000]],
  "space_group": "Imm2",
  "dft_energy_ev_per_atom": -25.62,
  "de_polymorph_kj_per_mol_atoms": 1.2
}

***

Entry 10:
{
  "formula": "Ba2Cd2In",
  "functional": "meta-GGA SCAN",
  "state": "single point on PBEsol structure",
  "cell": [[7.8930, 0.0000, 0.0000], [0.0000, 7.8930, 0.0000], [0.0000, 0.0000, 5.2844]],
  "species": ["Ba", "Ba", "Ba", "Ba", "Cd", "Cd", "Cd", "Cd", "In", "In"],
  "frac_coords": [[0.1812, 0.3188, 0.0000], [0.3188, 0.8188, 0.0000], [0.6812, 0.1812, 0.0000], [0.8188, 0.6812, 0.0000], [0.1270, 0.6270, 0.5000], [0.3730, 0.1270, 0.5000], [0.6270, 0.8730, 0.5000], [0.8730, 0.3730, 0.5000], [0.0000, 0.0000, 0.5000], [0.5000, 0.5000, 0.5000]],
  "space_group": "P4/mbm",
  "dft_energy_ev_per_atom": -35.00
}

***

Entry 11:
{
  "formula": "Fe3Co4",
  "functional": "meta-GGA SCAN",
  "state": "single point on PBEsol structure",
  "cell": [[5.2032, 3.0041, 0.8055], [-5.2032, 3.0041, 0.8055], [0.0000, -6.0082, 0.8055]],
  "species": ["Fe", "Fe", "Fe", "Co", "Co", "Co", "Co"],
  "frac_coords": [[0.1441, 0.2847, 0.5711], [0.2847, 0.5711, 0.1441], [0.5711, 0.1441, 0.2847], [0.0315, 0.0315, 0.0315], [0.4179, 0.8461, 0.7046], [0.7046, 0.4179, 0.8461], [0.8461, 0.7046, 0.4179]],
  "space_group": "R3",
  "dft_energy_ev_per_atom": -17.76,
  "de_polymorph_kj_per_mol_atoms": 9.7
}

***

Entry 12:
{
  "formula": "FeCo2Cu",
  "functional": "meta-GGA SCAN",
  "state": "single point on PBEsol structure",
  "cell": [[2.4675, 0.0000, 0.0000], [0.0000, 3.5293, 0.0000], [0.0000, 0.0000, 4.9543]],
  "species": ["Fe", "Co", "Co", "Cu"],
  "frac_coords": [[0.0000, 0.0000, 0.0000], [0.0000, 0.0000, 0.4844], [0.5000, 0.5000, 0.2512], [0.5000, 0.5000, 0.7427]],
  "space_group": "Pmm2",
  "dft_energy_ev_per_atom": -16.95
}